The following is a PBE calculation of an optimized crystal structure of SrAgPb2, from the Alexandria database.

Unit cell a=6.405 b=6.405 c=6.405 alpha=143.81 beta=128.08 gamma=64.92
Sites, in units of the cell vectors:
Sr (0.000, 0.000, 0.000)
Ag (0.500, 0.500, 0.000)
Pb (0.284, 0.784, 0.500)
Pb (0.716, 0.216, 0.500)

=====

The following is a PBE calculation of an optimized crystal structure of Tb4MgHg2, from the Alexandria database.

Unit cell a=9.309 b=9.309 c=9.309 alpha=32.86 beta=32.86 gamma=32.86
Sites, in units of the cell vectors:
Tb (0.126, 0.126, 0.126)
Tb (0.282, 0.282, 0.282)
Tb (0.718, 0.718, 0.718)
Tb (0.874, 0.874, 0.874)
Mg (0.500, 0.500, 0.500)
Hg (0.398, 0.398, 0.398)
Hg (0.602, 0.602, 0.602)

=====

no.,V (Å³/cell),energy relative to the elements (meV per atom),E (eV per atom)
1,120.54,-185,-3.172
2,211.39,-70,-3.030